Below is an optimized crystal structure of Si2P, with properties calculated at the GGA-PBE level.

a b c (Å): 4.771 4.771 7.609
angles (deg): 67.95 67.95 42.34
Atoms (fractional coordinates):
Si1 0.155 0.155 0.222
Si2 0.845 0.845 0.778
P1 0.403 0.403 0.953
Si3 0.661 0.661 0.456
Si4 0.339 0.339 0.544
P2 0.597 0.597 0.047

* density of states at the Fermi level: 2.20 states/eV per cell
* calculated total energy: -30.7 eV per cell
* offset from the most stable computed form: 0.298 eV per atom
* formation energy without anion corrections: 301 meV per atom